No. 1
## Li2PuCuS4 (GGA-PBE)

Data for a relaxed Li2PuCuS4 crystal.

The space group is P2/m (No. 10) and the conventional cell measures 6.0961, 3.8416 and 6.4809 Å, with angles of 90.00, 107.83 and 90.00 degrees. Symmetry generates all atoms from Li at (0.0000, 0.0000, 0.0000), Li at (0.5000, 0.5000, 0.0000), Pu at (0.0000, 0.5000, 0.5000), Cu at (0.5000, 0.0000, 0.5000), S at (0.2562, 0.5000, 0.2530) and S at (0.2639, 0.0000, 0.7412).

As for the uncorrected formation energy: -1.015 eV/atom.

***

No. 2
## Ho2TmTl (GGA-PBE)

Data for a relaxed Ho2TmTl crystal.

The space group is Immm (No. 71) and the conventional cell measures 3.8167, 5.3274 and 11.4096 Å, with angles of 90.00, 90.00 and 90.00 degrees. Symmetry generates all atoms from Ho at (0.0000, 0.0000, 0.2254), Tm at (0.0000, 0.5000, 0.0000) and Tl at (0.0000, 0.5000, 0.5000).

Its energy relative to the elements is -0.163 eV per atom.

***

No. 3
## Li2TlRh2 (GGA-PBE)

Data for a relaxed Li2TlRh2 crystal.

The space group is P4/mbm (No. 127) and the conventional cell measures 6.7092, 6.7092 and 3.1740 Å, with angles of 90.00, 90.00 and 90.00 degrees. Symmetry generates all atoms from Li at (0.1194, 0.3806, 0.0000), Tl at (0.0000, 0.0000, 0.0000) and Rh at (0.1781, 0.6781, 0.5000).

Its energy relative to the elements is -0.037 eV per atom.

***

| no. | total magnetization (μB/f.u.) |
| --- | --- |
| 1 | 3.0 |
| 2 | 0.0 |
| 3 | 0.0 |